(1)
Compound: CaRu2AuI
Source: the Alexandria database
Functional: PBE-GGA
Structure: optimized geometry

Lattice parameters (Å, degrees): 4.8370 4.8370 5.3139 90.00 90.00 90.00
Last column: nearest neighbours and their distance in Å.
Atoms (fractional coordinates):
Ca: 0.0000 0.0000 0.0000  4 Au 3.42, 8 Ru 3.59
Ru: 0.0000 0.5000 0.5000  2 I 2.42
Ru: 0.5000 0.0000 0.5000  2 I 2.42
Au: 0.5000 0.5000 0.0000  2 I 2.66
I: 0.5000 0.5000 0.5000  4 Ru 2.42, 2 Au 2.66

Properties
ρ ... 7.56 g/cm3
E ... -20.7 eV/cell
Raw formation energy ... 4.7 eV/f.u.



(2)
Compound: La2TlCo2
Source: the Alexandria database
Functional: PBE-GGA
Structure: optimized geometry

Lattice parameters (Å, degrees): 9.9661 9.9661 9.9661 159.73 159.73 28.82
Last column: nearest neighbours and their distance in Å.
Atoms (fractional coordinates):
La: 0.1292 0.1292 0.0000  4 Co 2.92
La: 0.8708 0.8708 0.0000  4 Co 2.92
Tl: 0.5000 0.5000 0.0000  4 Tl 3.51, 8 La 3.52
Co: 0.2500 0.7500 0.5000  4 Co 2.48
Co: 0.7500 0.2500 0.5000  4 Co 2.48

Properties
ρ ... 8.39 g/cm3
E ... -26.6 eV/cell
ΔH_f (0 K) ... -0.024 eV/atom